# LiAcBe2F8

An optimized crystal structure of LiAcBe2F8 (PBE, Alexandria).

Properties
**Formation energy from raw total energies**: -3505 meV/atom

a = 5.113 Å, b = 5.113 Å, c = 6.820 Å
α = 90.46°, β = 90.46°, γ = 62.56°
Atoms (fractional coordinates):
Li (0.000, 0.000, 0.000)
Ac (0.000, 0.000, 0.500)
Be (0.335, 0.335, 0.260)
Be (0.665, 0.665, 0.740)
F (0.167, 0.167, 0.193)
F (0.174, 0.662, 0.204)
F (0.326, 0.326, 0.497)
F (0.338, 0.826, 0.796)
F (0.662, 0.174, 0.204)
F (0.674, 0.674, 0.503)
F (0.826, 0.338, 0.796)
F (0.833, 0.833, 0.807)